# CsAsSe2N, relaxed, DFT GGA-PBE
data_CsAsSe2N
_cell_length_a 6.084
_cell_length_b 6.084
_cell_length_c 3.587
_cell_angle_alpha 90.00
_cell_angle_beta 90.00
_cell_angle_gamma 90.00
_symmetry_space_group_name_H-M 'P 4/m m m'
_symmetry_Int_Tables_number 123
_symmetry_space_group_name_Hall '-P 4 2'
loop_
_atom_site_label
_atom_site_fract_x
_atom_site_fract_y
_atom_site_fract_z
Cs1 0.000 0.000 0.000
As1 0.500 0.500 0.500
Se1 0.000 0.500 0.500
N1 0.500 0.500 0.000
# ΔE to the lowest computed polymorph: 0 meV/atom
# E_tot: -3.71 eV per atom
# Energy relative to the elements, uncorrected: 0.449 eV/atom
# Magnetization: 0.0 μB/f.u.